# 1
Compound: Er5ScN6
Source: Alexandria via LeMat-Bulk
Functional: PBE
Structure: optimized geometry

abc: 5.8772 5.8772 5.8744
angles: 99.59 99.59 120.01
With the nearest neighbours (Å) after each atom.
Fractional coordinates of all 12 atoms:
Er: 0.0000 0.0000 0.0000  6 N 2.40-2.44
Er: 0.1669 0.8331 0.5000  6 N 2.40-2.41
Er: 0.3347 0.6653 0.0000  6 N 2.39-2.45
Er: 0.6653 0.3347 0.0000  6 N 2.39-2.45
Er: 0.8331 0.1669 0.5000  6 N 2.40-2.41
Sc: 0.5000 0.5000 0.5000  6 N 2.36
N: 0.0910 0.4179 0.2536  1 Sc 2.36, 5 Er 2.39-2.45
N: 0.2552 0.2552 0.7465  1 Sc 2.36, 5 Er 2.39-2.44
N: 0.4179 0.0910 0.2536  1 Sc 2.36, 5 Er 2.39-2.45
N: 0.5821 0.9090 0.7464  1 Sc 2.36, 5 Er 2.39-2.45
N: 0.7448 0.7448 0.2535  1 Sc 2.36, 5 Er 2.39-2.44
N: 0.9090 0.5821 0.7464  1 Sc 2.36, 5 Er 2.39-2.45

Results
space group	No. 12

# 2
Compound: Er2Sc6N
Source: Alexandria via LeMat-Bulk
Functional: PBE
Structure: optimized geometry

abc: 8.6120 8.6120 5.7754
angles: 90.26 90.26 102.34
With the nearest neighbours (Å) after each atom.
Fractional coordinates of all 18 atoms:
Er: 0.0586 0.1944 0.4113  4 Er 3.30-3.45, 8 Sc 3.32-3.50
Er: 0.1944 0.0586 0.9113  4 Er 3.30-3.45, 8 Sc 3.32-3.50
Er: 0.8056 0.9414 0.0887  4 Er 3.30-3.45, 8 Sc 3.32-3.50
Er: 0.9414 0.8056 0.5887  4 Er 3.30-3.45, 8 Sc 3.32-3.50
Sc: 0.0647 0.6786 0.0931  8 Sc 3.22-3.45, 4 Er 3.32-3.50
Sc: 0.2032 0.5632 0.5919  1 N 2.23
Sc: 0.3214 0.9353 0.4069  8 Sc 3.22-3.45, 4 Er 3.32-3.50
Sc: 0.3282 0.4426 0.0708  2 N 2.24-2.25
Sc: 0.4368 0.7968 0.9081  1 N 2.23
Sc: 0.4426 0.3282 0.5708  2 N 2.24-2.25
Sc: 0.5574 0.6718 0.4292  2 N 2.24-2.25
Sc: 0.5632 0.2032 0.0919  1 N 2.23
Sc: 0.6718 0.5574 0.9292  2 N 2.24-2.25
Sc: 0.6786 0.0647 0.5931  8 Sc 3.22-3.45, 4 Er 3.32-3.50
Sc: 0.7968 0.4368 0.4081  1 N 2.23
Sc: 0.9353 0.3214 0.9069  8 Sc 3.22-3.45, 4 Er 3.32-3.50
N: 0.4395 0.5605 0.7500  6 Sc 2.23-2.25
N: 0.5605 0.4395 0.2500  6 Sc 2.23-2.25

Results
space group	No. 15

# 3
Compound: Er2Sc3N4
Source: Alexandria via LeMat-Bulk
Functional: PBE
Structure: optimized geometry

abc: 5.6855 5.6855 8.1143
angles: 117.24 117.24 33.60
With the nearest neighbours (Å) after each atom.
Fractional coordinates of all 9 atoms:
Er: 0.1010 0.1010 0.3884  4 N 2.29-2.46
Er: 0.8990 0.8990 0.6116  4 N 2.29-2.46
Sc: 0.2890 0.2890 0.1797  5 N 2.17-2.31
Sc: 0.5000 0.5000 0.0000  6 N 2.33
Sc: 0.7110 0.7110 0.8203  5 N 2.17-2.31
N: 0.1041 0.1041 0.9053  5 Sc 2.17-2.33, 1 Er 2.36
N: 0.3007 0.3007 0.7073  3 Er 2.29-2.46, 3 Sc 2.31-2.33
N: 0.6993 0.6993 0.2927  3 Er 2.29-2.46, 3 Sc 2.31-2.33
N: 0.8959 0.8959 0.0947  5 Sc 2.17-2.33, 1 Er 2.36

Results
space group	No. 12

# 4
Compound: ErSc5N6
Source: Alexandria via LeMat-Bulk
Functional: PBE
Structure: optimized geometry

abc: 5.6086 5.6086 5.6047
angles: 99.59 99.59 120.00
With the nearest neighbours (Å) after each atom.
Fractional coordinates of all 12 atoms:
Er: 0.0000 0.0000 0.0000  6 N 2.34
Sc: 0.1684 0.8316 0.5000  6 N 2.23-2.31
Sc: 0.3336 0.6664 0.0000  6 N 2.28-2.29
Sc: 0.5000 0.5000 0.5000  6 N 2.24-2.30
Sc: 0.6664 0.3336 0.0000  6 N 2.28-2.29
Sc: 0.8316 0.1684 0.5000  6 N 2.23-2.31
N: 0.0847 0.4258 0.2540  5 Sc 2.23-2.30, 1 Er 2.34
N: 0.2564 0.2564 0.7457  5 Sc 2.24-2.31, 1 Er 2.34
N: 0.4258 0.0847 0.2540  5 Sc 2.23-2.30, 1 Er 2.34
N: 0.5742 0.9153 0.7460  5 Sc 2.23-2.30, 1 Er 2.34
N: 0.7436 0.7436 0.2543  5 Sc 2.24-2.31, 1 Er 2.34
N: 0.9153 0.5742 0.7460  5 Sc 2.23-2.30, 1 Er 2.34

Results
space group	No. 12

# 5
Compound: ErSc3N4
Source: Alexandria via LeMat-Bulk
Functional: PBE
Structure: optimized geometry

abc: 5.6378 6.5219 5.6403
angles: 90.00 109.45 90.00
With the nearest neighbours (Å) after each atom.
Fractional coordinates of all 16 atoms:
Er: 0.0000 0.1273 0.2500  6 N 2.34-2.36
Er: 0.0000 0.8727 0.7500  6 N 2.34-2.36
Sc: 0.0000 0.3775 0.7500  6 N 2.29-2.31
Sc: 0.0000 0.6225 0.2500  6 N 2.29-2.31
Sc: 0.5000 0.1292 0.7500  6 N 2.25-2.34
Sc: 0.5000 0.3772 0.2500  6 N 2.25-2.32
Sc: 0.5000 0.6228 0.7500  6 N 2.25-2.32
Sc: 0.5000 0.8708 0.2500  6 N 2.25-2.34
N: 0.2528 0.3802 0.5058  5 Sc 2.25-2.32, 1 Er 2.34
N: 0.2528 0.6198 0.0058  5 Sc 2.25-2.32, 1 Er 2.34
N: 0.2593 0.1310 0.9982  4 Sc 2.25-2.34, 2 Er 2.35-2.36
N: 0.2593 0.8690 0.4982  4 Sc 2.25-2.34, 2 Er 2.35-2.36
N: 0.7407 0.1310 0.5018  4 Sc 2.25-2.34, 2 Er 2.35-2.36
N: 0.7407 0.8690 0.0018  4 Sc 2.25-2.34, 2 Er 2.35-2.36
N: 0.7472 0.3802 0.9942  5 Sc 2.25-2.32, 1 Er 2.34
N: 0.7472 0.6198 0.4942  5 Sc 2.25-2.32, 1 Er 2.34

Results
space group	No. 13

# 6
Compound: ErSc2SnN
Source: Alexandria via LeMat-Bulk
Functional: PBE
Structure: optimized geometry

abc: 4.4935 4.4935 4.7115
angles: 90.00 90.00 90.00
With the nearest neighbours (Å) after each atom.
Fractional coordinates of all 5 atoms:
Er: 0.0000 0.0000 0.0000  2 N 2.36
Sc: 0.0000 0.5000 0.5000  2 N 2.25
Sc: 0.5000 0.0000 0.5000  2 N 2.25
Sn: 0.5000 0.5000 0.0000  4 Er 3.18, 8 Sc 3.26
N: 0.0000 0.0000 0.5000  4 Sc 2.25, 2 Er 2.36

Results
space group	No. 123

# 7
Compound: ErSc2TiN4
Source: Alexandria via LeMat-Bulk
Functional: PBE
Structure: optimized geometry

abc: 5.5356 3.2039 5.5571
angles: 90.00 109.22 90.00
With the nearest neighbours (Å) after each atom.
Fractional coordinates of all 8 atoms:
Er: 0.0000 0.0000 0.0000  6 N 2.30-2.31
Sc: 0.5000 0.0000 0.5000  6 N 2.22-2.23
Sc: 0.5000 0.5000 0.0000  6 N 2.32
Ti: 0.0000 0.5000 0.5000  6 N 2.20-2.22
N: 0.2445 0.0000 0.7354  3 Sc 2.22-2.32, 2 Ti 2.22, 1 Er 2.30
N: 0.2523 0.5000 0.2661  1 Ti 2.20, 3 Sc 2.23-2.32, 2 Er 2.31
N: 0.7477 0.5000 0.7339  1 Ti 2.20, 3 Sc 2.23-2.32, 2 Er 2.31
N: 0.7555 0.0000 0.2646  3 Sc 2.22-2.32, 2 Ti 2.22, 1 Er 2.30

Results
space group	No. 10

# 8
Compound: ErSc2TlN
Source: Alexandria via LeMat-Bulk
Functional: PBE
Structure: optimized geometry

abc: 4.5147 4.5147 4.7196
angles: 90.00 90.00 90.00
With the nearest neighbours (Å) after each atom.
Fractional coordinates of all 5 atoms:
Er: 0.0000 0.0000 0.0000  2 N 2.36
Sc: 0.0000 0.5000 0.5000  2 N 2.26
Sc: 0.5000 0.0000 0.5000  2 N 2.26
Tl: 0.5000 0.5000 0.0000  4 Er 3.19, 8 Sc 3.27
N: 0.0000 0.0000 0.5000  4 Sc 2.26, 2 Er 2.36

Results
space group	No. 123

# 9
Compound: Er2ScTlN
Source: Alexandria via LeMat-Bulk
Functional: PBE
Structure: optimized geometry

abc: 4.7571 4.7571 4.5195
angles: 90.00 90.00 90.00
With the nearest neighbours (Å) after each atom.
Fractional coordinates of all 5 atoms:
Er: 0.0000 0.5000 0.0000  2 N 2.38
Er: 0.5000 0.0000 0.0000  2 N 2.38
Sc: 0.0000 0.0000 0.5000  2 N 2.26
Tl: 0.5000 0.5000 0.5000  8 Er 3.28, 4 Sc 3.36
N: 0.0000 0.0000 0.0000  2 Sc 2.26, 4 Er 2.38

Results
space group	No. 123

# 10
Compound: ErTm2ScN4
Source: Alexandria via LeMat-Bulk
Functional: PBE
Structure: optimized geometry

abc: 5.8194 3.3635 5.8195
angles: 90.00 109.43 90.00
With the nearest neighbours (Å) after each atom.
Fractional coordinates of all 8 atoms:
Er: 0.0000 0.0000 0.0000  6 N 2.38
Tm: 0.0000 0.5000 0.5000  6 N 2.40-2.41
Tm: 0.5000 0.0000 0.5000  6 N 2.37
Sc: 0.5000 0.5000 0.0000  6 N 2.35
N: 0.2542 0.5000 0.2480  1 Sc 2.35, 3 Tm 2.37-2.40, 2 Er 2.38
N: 0.2565 0.0000 0.7555  2 Sc 2.35, 3 Tm 2.37-2.41, 1 Er 2.38
N: 0.7435 0.0000 0.2445  2 Sc 2.35, 3 Tm 2.37-2.41, 1 Er 2.38
N: 0.7458 0.5000 0.7520  1 Sc 2.35, 3 Tm 2.37-2.40, 2 Er 2.38

Results
space group	No. 10

# 11
Compound: Er2ScUN4
Source: Alexandria via LeMat-Bulk
Functional: PBE
Structure: optimized geometry

abc: 5.8084 3.3830 5.8400
angles: 90.00 108.73 90.00
With the nearest neighbours (Å) after each atom.
Fractional coordinates of all 8 atoms:
Er: 0.0000 0.0000 0.0000  6 N 2.42-2.46
Er: 0.5000 0.5000 0.0000  6 N 2.42-2.44
Sc: 0.0000 0.5000 0.5000  6 N 2.32-2.36
U: 0.5000 0.0000 0.5000  6 N 2.28-2.37
N: 0.2502 0.5000 0.2609  1 Sc 2.32, 2 U 2.37, 3 Er 2.42
N: 0.2515 0.0000 0.7326  1 U 2.28, 2 Sc 2.36, 3 Er 2.44-2.46
N: 0.7485 0.0000 0.2674  1 U 2.28, 2 Sc 2.36, 3 Er 2.44-2.46
N: 0.7498 0.5000 0.7391  1 Sc 2.32, 2 U 2.37, 3 Er 2.42

Results
space group	No. 10

# 12
Compound: Er2Zr3ScN6
Source: Alexandria via LeMat-Bulk
Functional: PBE
Structure: optimized geometry

abc: 5.7035 5.7035 5.7403
angles: 99.58 99.58 119.90
With the nearest neighbours (Å) after each atom.
Fractional coordinates of all 12 atoms:
Er: 0.1668 0.8332 0.0000  6 N 2.37-2.38
Er: 0.8332 0.1668 0.0000  6 N 2.37-2.38
Zr: 0.0000 0.0000 0.5000  6 N 2.29-2.34
Zr: 0.3347 0.6653 0.5000  6 N 2.28-2.35
Zr: 0.6653 0.3347 0.5000  6 N 2.28-2.35
Sc: 0.5000 0.5000 0.0000  6 N 2.33
N: 0.0873 0.4139 0.7422  3 Zr 2.29-2.35, 1 Sc 2.33, 2 Er 2.37-2.38
N: 0.2594 0.2594 0.2585  3 Zr 2.28-2.34, 1 Sc 2.33, 2 Er 2.38
N: 0.4139 0.0873 0.7422  3 Zr 2.29-2.35, 1 Sc 2.33, 2 Er 2.37-2.38
N: 0.5861 0.9127 0.2578  3 Zr 2.29-2.35, 1 Sc 2.33, 2 Er 2.37-2.38
N: 0.7406 0.7406 0.7415  3 Zr 2.28-2.34, 1 Sc 2.33, 2 Er 2.38
N: 0.9127 0.5861 0.2578  3 Zr 2.29-2.35, 1 Sc 2.33, 2 Er 2.37-2.38

Results
space group	No. 12

# 13
Compound: ErZr2Sc3N6
Source: Alexandria via LeMat-Bulk
Functional: PBE
Structure: optimized geometry

abc: 7.2704 7.2704 6.5105
angles: 102.73 102.73 25.89
With the nearest neighbours (Å) after each atom.
Fractional coordinates of all 12 atoms:
Er: 0.0000 0.0000 0.0000  6 N 2.35
Zr: 0.3331 0.3331 0.6655  6 N 2.28-2.30
Zr: 0.6669 0.6669 0.3345  6 N 2.28-2.30
Sc: 0.0000 0.0000 0.5000  6 N 2.26-2.31
Sc: 0.3330 0.3330 0.1668  6 N 2.24-2.33
Sc: 0.6670 0.6670 0.8332  6 N 2.24-2.33
N: 0.1671 0.1671 0.5842  3 Zr 2.29-2.30, 3 Sc 2.30-2.31
N: 0.1705 0.1705 0.0871  3 Sc 2.24-2.31, 2 Zr 2.30, 1 Er 2.35
N: 0.4985 0.4985 0.7397  3 Sc 2.26-2.33, 1 Zr 2.28, 2 Er 2.35
N: 0.5015 0.5015 0.2603  3 Sc 2.26-2.33, 1 Zr 2.28, 2 Er 2.35
N: 0.8295 0.8295 0.9129  3 Sc 2.24-2.31, 2 Zr 2.30, 1 Er 2.35
N: 0.8329 0.8329 0.4158  3 Zr 2.29-2.30, 3 Sc 2.30-2.31

Results
space group	No. 12

# 14
Compound: ErZrSc2N4
Source: Alexandria via LeMat-Bulk
Functional: PBE
Structure: optimized geometry

abc: 5.6417 3.2693 5.6722
angles: 90.00 109.39 90.00
With the nearest neighbours (Å) after each atom.
Fractional coordinates of all 8 atoms:
Er: 0.0000 0.0000 0.0000  6 N 2.35
Zr: 0.0000 0.5000 0.5000  6 N 2.29-2.31
Sc: 0.5000 0.0000 0.5000  6 N 2.27
Sc: 0.5000 0.5000 0.0000  6 N 2.32
N: 0.2532 0.0000 0.7446  3 Sc 2.27-2.32, 2 Zr 2.31, 1 Er 2.35
N: 0.2570 0.5000 0.2601  3 Sc 2.27-2.32, 1 Zr 2.29, 2 Er 2.35
N: 0.7430 0.5000 0.7399  3 Sc 2.27-2.32, 1 Zr 2.29, 2 Er 2.35
N: 0.7468 0.0000 0.2554  3 Sc 2.27-2.32, 2 Zr 2.31, 1 Er 2.35

Results
space group	No. 10

# 15
Compound: ErZr3Sc2N6
Source: Alexandria via LeMat-Bulk
Functional: PBE
Structure: optimized geometry

abc: 5.6475 5.6475 5.6729
angles: 99.61 99.61 119.89
With the nearest neighbours (Å) after each atom.
Fractional coordinates of all 12 atoms:
Er: 0.0000 0.0000 0.0000  6 N 2.35
Zr: 0.1676 0.8324 0.5000  6 N 2.26-2.32
Zr: 0.5000 0.5000 0.5000  6 N 2.27-2.32
Zr: 0.8324 0.1676 0.5000  6 N 2.26-2.32
Sc: 0.3335 0.6665 0.0000  6 N 2.30-2.31
Sc: 0.6665 0.3335 0.0000  6 N 2.30-2.31
N: 0.0845 0.4251 0.2534  3 Zr 2.26-2.32, 2 Sc 2.30-2.31, 1 Er 2.35
N: 0.2563 0.2563 0.7475  3 Zr 2.27-2.32, 2 Sc 2.30, 1 Er 2.35
N: 0.4251 0.0845 0.2534  3 Zr 2.26-2.32, 2 Sc 2.30-2.31, 1 Er 2.35
N: 0.5749 0.9155 0.7466  3 Zr 2.26-2.32, 2 Sc 2.30-2.31, 1 Er 2.35
N: 0.7437 0.7437 0.2525  3 Zr 2.27-2.32, 2 Sc 2.30, 1 Er 2.35
N: 0.9155 0.5749 0.7466  3 Zr 2.26-2.32, 2 Sc 2.30-2.31, 1 Er 2.35

Results
space group	No. 12

# 16
Compound: Er2ZrScN4
Source: Alexandria via LeMat-Bulk
Functional: PBE
Structure: optimized geometry

abc: 5.7397 3.3179 5.7654
angles: 90.00 109.30 90.00
With the nearest neighbours (Å) after each atom.
Fractional coordinates of all 8 atoms:
Er: 0.0000 0.0000 0.0000  6 N 2.39
Er: 0.5000 0.5000 0.0000  6 N 2.40
Zr: 0.0000 0.5000 0.5000  6 N 2.30-2.31
Sc: 0.5000 0.0000 0.5000  6 N 2.31
N: 0.2446 0.0000 0.7365  2 Zr 2.31, 1 Sc 2.31, 3 Er 2.39-2.40
N: 0.2525 0.5000 0.2634  1 Zr 2.30, 2 Sc 2.31, 3 Er 2.39-2.40
N: 0.7475 0.5000 0.7366  1 Zr 2.30, 2 Sc 2.31, 3 Er 2.39-2.40
N: 0.7554 0.0000 0.2635  2 Zr 2.31, 1 Sc 2.31, 3 Er 2.39-2.40

Results
space group	No. 10

# 17
Compound: ErSeN
Source: Alexandria via LeMat-Bulk
Functional: PBE
Structure: optimized geometry

abc: 8.4289 3.9812 8.1322
angles: 90.00 103.77 90.00
With the nearest neighbours (Å) after each atom.
Fractional coordinates of all 12 atoms:
Er: 0.1690 0.2447 0.4172  1 N 2.31
Er: 0.1690 0.2553 0.9172  1 N 2.31
Er: 0.8310 0.7447 0.0828  1 N 2.31
Er: 0.8310 0.7553 0.5828  1 N 2.31
Se: 0.1821 0.7495 0.6704  5 Er 2.83-2.87
Se: 0.1821 0.7505 0.1704  5 Er 2.83-2.87
Se: 0.8179 0.2495 0.8296  5 Er 2.83-2.87
Se: 0.8179 0.2505 0.3296  5 Er 2.83-2.87
N: 0.4385 0.0723 0.4847  1 N 1.16
N: 0.4385 0.4277 0.9847  1 N 1.16
N: 0.5615 0.5723 0.0153  1 N 1.16
N: 0.5615 0.9277 0.5153  1 N 1.16

Results
space group	No. 14
ΔE to the lowest computed polymorph	0	meV per atom

# 18
Compound: Er4Se3N2
Source: Alexandria via LeMat-Bulk
Functional: PBE
Structure: optimized geometry

abc: 6.7092 6.7092 8.3005
angles: 101.45 101.45 30.37
With the nearest neighbours (Å) after each atom.
Fractional coordinates of all 9 atoms:
Er: 0.0885 0.0885 0.1897  2 N 2.45
Er: 0.3258 0.3258 0.3963  3 N 2.31-2.37
Er: 0.6742 0.6742 0.6037  3 N 2.31-2.37
Er: 0.9115 0.9115 0.8103  2 N 2.45
Se: 0.0000 0.0000 0.5000  6 Er 2.85-3.03
Se: 0.3992 0.3992 0.0908  5 Er 2.89-2.99
Se: 0.6008 0.6008 0.9092  5 Er 2.89-2.99
N: 0.2986 0.2986 0.6629  5 Er 2.31-2.45
N: 0.7014 0.7014 0.3371  5 Er 2.31-2.45

Results
space group	No. 12
ΔE to the lowest computed polymorph	139	meV per atom

# 19
Compound: Er4Se3N2
Source: Alexandria via LeMat-Bulk
Functional: PBE
Structure: optimized geometry

abc: 6.8892 6.8892 10.1846
angles: 127.42 127.42 32.80
With the nearest neighbours (Å) after each atom.
Fractional coordinates of all 9 atoms:
Er: 0.0574 0.0574 0.3469  1 N 2.14
Er: 0.2593 0.2593 0.1408  3 N 2.21-2.32
Er: 0.7407 0.7407 0.8592  3 N 2.21-2.32
Er: 0.9426 0.9426 0.6531  1 N 2.14
Se: 0.3314 0.3314 0.7257  4 Er 2.80-3.02
Se: 0.5000 0.5000 0.5000  6 Er 2.88-2.96
Se: 0.6686 0.6686 0.2743  4 Er 2.80-3.02
N: 0.1472 0.1472 0.8632  4 Er 2.14-2.32
N: 0.8528 0.8528 0.1368  4 Er 2.14-2.32

Results
space group	No. 12
ΔE to the lowest computed polymorph	0	meV per atom

# 20
Compound: Er3Se2N
Source: Alexandria via LeMat-Bulk
Functional: PBE
Structure: optimized geometry

abc: 3.8447 3.8447 16.7348
angles: 90.00 90.00 90.00
With the nearest neighbours (Å) after each atom.
Fractional coordinates of all 12 atoms:
Er: 0.0000 0.0000 0.0000  4 N 2.72, 2 Se 2.87
Er: 0.0000 0.0000 0.3655  1 N 2.25
Er: 0.0000 0.0000 0.6345  1 N 2.25
Er: 0.5000 0.5000 0.1345  1 N 2.25
Er: 0.5000 0.5000 0.5000  4 N 2.72, 2 Se 2.87
Er: 0.5000 0.5000 0.8655  1 N 2.25
Se: 0.0000 0.0000 0.1715  5 Er 2.79-2.87
Se: 0.0000 0.0000 0.8285  5 Er 2.79-2.87
Se: 0.5000 0.5000 0.3285  5 Er 2.79-2.87
Se: 0.5000 0.5000 0.6715  5 Er 2.79-2.87
N: 0.0000 0.0000 0.5000  2 Er 2.25
N: 0.5000 0.5000 0.0000  2 Er 2.25

Results
space group	No. 139
ΔE to the lowest computed polymorph	0	meV per atom

Ordered raw total energy results: -8.376, -6.531, -8.461, -9.053, -8.960, -7.038, -9.076, -6.593, -6.208, -8.453, -9.187, -9.367, -9.387, -9.226, -9.536, -8.982, -6.618, -6.743, -6.882, -6.455; unit eV/atom.
Ordered uncorrected formation energy results: -1.7849, -0.3713, -1.6366, -1.8717, -1.8526, -1.1275, -1.7734, -1.0092, -0.9779, -1.8109, -1.6813, -1.7788, -1.8369, -1.8417, -1.8010, -1.8187, -1.1609, -1.7035, -1.8423, -1.6242; unit eV/atom.
Ordered Fermi-level density of states results: 0.308, 27.577, 2.456, 0.404, 0.796, 2.878, 1.138, 2.867, 2.747, 0.218, 4.647, 3.457, 2.967, 1.129, 3.614, 1.155, 4.640, 0.751, 0.000, 4.108; unit states/eV/cell.